1.
{"formula": "Zn2CrRe", "functional": "GGA-PBEsol", "state": "optimized geometry", "formation_enthalpy_0k_ev_per_atom": 0.16, "lattice_angstrom": [[-1.8374, 1.8270, -0.2782], [-0.9536, -2.3833, -0.4492], [-2.0027, -0.7560, 8.2629]], "species": ["Cr", "Re", "Zn", "Zn"], "frac_coords": [[0.0000, 0.0000, 0.4964], [0.5000, 0.5000, 0.2633], [0.0000, 0.0000, 0.9986], [0.5000, 0.5000, 0.7416]]}

2.
{"formula": "MnBe2W", "functional": "GGA-PBEsol", "state": "optimized geometry", "formation_enthalpy_0k_ev_per_atom": 0.12, "lattice_angstrom": [[3.4726, 0.0000, 0.0000], [0.0000, 3.4726, 0.0000], [0.0000, 0.0000, 3.5984]], "species": ["Be", "Be", "Mn", "W"], "frac_coords": [[0.0000, 0.5000, 0.0000], [0.5000, 0.0000, 0.0000], [0.5000, 0.5000, 0.5000], [0.0000, 0.0000, 0.5000]]}

3.
{"formula": "ErAlCu", "functional": "GGA-PBEsol", "state": "optimized geometry", "formation_enthalpy_0k_ev_per_atom": -0.47, "lattice_angstrom": [[-0.4187, 1.7443, -3.3428], [-6.9029, -1.2755, 0.1992], [2.5575, 5.9243, 2.7711]], "species": ["Al", "Al", "Al", "Cu", "Cu", "Cu", "Er", "Er", "Er"], "frac_coords": [[0.0000, 0.2403, 0.2403], [0.0000, 0.0000, 0.7597], [0.0000, 0.7597, 0.0000], [0.0000, 0.6667, 0.3333], [0.0000, 0.3333, 0.6667], [0.5000, 0.0000, 0.0000], [0.5000, 0.5847, 0.5847], [0.5000, 0.0000, 0.4153], [0.5000, 0.4153, 0.0000]]}

4.
{"formula": "Zr9Ni11", "functional": "GGA-PBEsol", "state": "optimized geometry", "formation_enthalpy_0k_ev_per_atom": -0.39, "lattice_angstrom": [[6.3789, 0.0000, 0.0000], [3.1895, 6.9687, 0.0000], [3.1895, 0.0000, 6.9687]], "species": ["Ni", "Ni", "Ni", "Ni", "Ni", "Ni", "Ni", "Ni", "Ni", "Ni", "Ni", "Zr", "Zr", "Zr", "Zr", "Zr", "Zr", "Zr", "Zr", "Zr"], "frac_coords": [[0.5000, 0.0000, 0.0000], [0.7500, 0.5000, 0.5000], [0.2500, 0.5000, 0.5000], [0.3245, 0.6560, 0.1054], [0.0859, 0.3440, 0.8946], [0.4299, 0.8946, 0.6560], [0.9805, 0.1054, 0.3440], [0.6755, 0.3440, 0.8946], [0.9141, 0.6560, 0.1054], [0.5701, 0.1054, 0.3440], [0.0195, 0.8946, 0.6560], [0.0000, 0.0000, 0.0000], [0.2486, 0.3355, 0.1674], [0.7514, 0.6645, 0.8326], [0.4160, 0.8326, 0.3355], [0.5840, 0.1674, 0.6645], [0.3114, 0.5982, 0.7790], [0.6886, 0.4018, 0.2210], [0.0904, 0.2210, 0.5982], [0.9096, 0.7790, 0.4018]]}

5.
{"formula": "Mn2BeTe", "functional": "GGA-PBEsol", "state": "optimized geometry", "formation_energy_uncorrected_ev_per_atom": 0.536, "lattice_angstrom": [[-1.3812, 2.8529, 1.8541], [-3.1992, -0.4076, -1.7559], [-0.2908, -6.2931, 5.8304]], "species": ["Be", "Be", "Te", "Te", "Mn", "Mn", "Mn", "Mn"], "frac_coords": [[0.7500, 0.2500, 0.5000], [0.5000, 0.5000, 0.0000], [0.2500, 0.7500, 0.5000], [0.0000, 0.0000, 0.0000], [0.4635, 0.8750, 0.2500], [0.7865, 0.3750, 0.2500], [0.1250, 0.2135, 0.7500], [0.6250, 0.5365, 0.7500]]}

6.
{"formula": "Sr3InN3", "functional": "GGA-PBEsol", "state": "optimized geometry", "formation_energy_uncorrected_ev_per_atom": -0.552, "lattice_angstrom": [[-2.0829, -1.9588, -4.5782], [-5.4174, -3.7371, 4.0636], [-1.3135, 7.2059, -2.4855]], "species": ["Sr", "Sr", "Sr", "Sr", "Sr", "Sr", "In", "In", "N", "N", "N", "N", "N", "N"], "frac_coords": [[0.7500, 0.0692, 0.7201], [0.7500, 0.2799, 0.3491], [0.7500, 0.6509, 0.9308], [0.2500, 0.9308, 0.2799], [0.2500, 0.7201, 0.6509], [0.2500, 0.3491, 0.0692], [0.2500, 0.3333, 0.6667], [0.7500, 0.6667, 0.3333], [0.2500, 0.0748, 0.6939], [0.2500, 0.3061, 0.3809], [0.2500, 0.6191, 0.9252], [0.7500, 0.9252, 0.3061], [0.7500, 0.6939, 0.6191], [0.7500, 0.3809, 0.0748]]}

Repeat the second record exactly.
{"formula": "MnBe2W", "functional": "GGA-PBEsol", "state": "optimized geometry", "formation_enthalpy_0k_ev_per_atom": 0.12, "lattice_angstrom": [[3.4726, 0.0000, 0.0000], [0.0000, 3.4726, 0.0000], [0.0000, 0.0000, 3.5984]], "species": ["Be", "Be", "Mn", "W"], "frac_coords": [[0.0000, 0.5000, 0.0000], [0.5000, 0.0000, 0.0000], [0.5000, 0.5000, 0.5000], [0.0000, 0.0000, 0.5000]]}